(1)
LaMn4Al | Alexandria via LeMat-Bulk | GGA-PBE | relaxed; symmetry = F-43m (216); density of states at the Fermi level = 1.706 states/eV per atom; formation energy = 0.224 eV/atom; E_tot = -44.0 eV for the cell shown; spin magnetization = 8.53 μB per cell
1.0
2.5641 -2.7389 3.4642
-2.2487 -3.9742 2.2860
1.4910 -4.7581 -1.1017
La Mn Al
1 4 1
direct
0.0000 0.0000 0.0000 La
0.8667 0.3778 0.3778 Mn
0.3778 0.3778 0.8667 Mn
0.3778 0.8667 0.3778 Mn
0.3778 0.3778 0.3778 Mn
0.7500 0.7500 0.7500 Al

=====

(2)
LaZnBiAu | Alexandria via LeMat-Bulk | GGA-PBE | relaxed; symmetry = F-43m (216); density of states at the Fermi level = 0.325 states/eV per atom; formation energy = -0.499 eV/atom; E_tot = -15.4 eV for the cell shown; spin magnetization = 0.00 μB per cell
1.0
5.2046 0.0000 0.0000
2.6023 4.5073 0.0000
2.6023 1.5024 4.2496
Zn Au Bi La
1 1 1 1
direct
0.5000 0.5000 0.5000 Zn
0.0000 0.0000 0.0000 Au
0.2500 0.2500 0.2500 Bi
0.7500 0.7500 0.7500 La

=====

(3)
Sm4GeAsS2 | Alexandria via LeMat-Bulk | GGA-PBE | relaxed; symmetry = Imma (74); density of states at the Fermi level = 0.156 states/eV per atom; E_tot = -99.2 eV for the cell shown; formation energy (no corrections) = -1.65 eV/atom; spin magnetization = 0.00 μB per cell
1.0
-2.3913 -3.6338 -7.0313
7.5005 -3.3860 -0.7996
-4.3421 -1.1635 6.9387
Sm Ge As S
8 2 2 4
direct
0.2500 0.7486 0.9993 Sm
0.7514 0.2500 0.5007 Sm
0.2486 0.7500 0.4993 Sm
0.7500 0.2514 0.0007 Sm
0.7512 0.7487 0.0005 Sm
0.7513 0.7488 0.4995 Sm
0.2487 0.2512 0.5005 Sm
0.2488 0.2513 0.9995 Sm
0.0000 0.5000 0.0000 Ge
0.0000 0.5000 0.5000 Ge
0.5000 0.5000 0.5000 As
0.0000 0.0000 0.0000 As
0.5000 0.0000 0.0000 S
0.5000 0.0000 0.5000 S
0.0000 0.0000 0.5000 S
0.5000 0.5000 0.0000 S

=====

(4)
SbSeBr | Alexandria via LeMat-Bulk | GGA-PBE | relaxed; symmetry = F-43m (216); density of states at the Fermi level = 0.142 states/eV per atom; E_tot = -9.7 eV for the cell shown; formation energy (no corrections) = -0.13 eV/atom; spin magnetization = 0.00 μB per cell
1.0
-3.9622 2.9812 0.4761
-4.5776 -1.9543 0.2004
-2.5575 0.0801 4.2739
Br Sb Se
1 1 1
direct
0.5000 0.5000 0.5000 Br
0.7500 0.7500 0.7500 Sb
0.0000 0.0000 0.0000 Se